Entry 1:
RbNaLi3 (GGA-PBE, optimized geometry); magnetization = 0.000 Bohr magnetons per cell; offset from the most stable computed form = 0 meV per atom; SG = Pm-3m (221)
1.0
5.8671 0.0000 0.0000
0.0000 5.8671 0.0000
0.0000 0.0000 5.8671
Rb Li Na
1 3 1
Cartesian
2.9336 2.9336 2.9336
2.9336 0.0000 0.0000
0.0000 2.9336 0.0000
0.0000 0.0000 2.9336
0.0000 0.0000 0.0000

=====

Entry 2:
InNiAu (GGA-PBE, optimized geometry); magnetization = 0.000 Bohr magnetons per cell; SG = F-43m (216); electronic total energy = -11.9 eV per formula unit
1.0
-3.4182 0.7524 2.5158
-3.8807 -1.4956 -1.1328
-1.7964 -3.2302 2.2178
In Au Ni
1 1 1
Cartesian
-4.5477 -1.9867 1.8004
0.0000 0.0000 0.0000
-6.8215 -2.9800 2.7006

=====

Entry 3:
Sc2Cr2Ru (GGA-PBE, optimized geometry); magnetization = 0.057 Bohr magnetons per cell; SG = P4/mbm (127); electronic total energy = -40.9 eV per formula unit
1.0
-3.1193 -5.2061 -0.7545
2.1507 -2.0627 5.3407
-3.4995 1.7922 2.1014
Cr Ru Sc
4 2 4
Cartesian
-1.6793 -3.5011 0.1894
0.7107 -3.7676 4.3968
0.4242 -1.4197 1.9172
-1.3928 -5.8490 2.6689
0.0000 0.0000 0.0000
-0.4843 -3.6344 2.2931
-0.8465 -1.4269 4.5361
-3.6216 -4.0496 2.1515
-2.0952 -4.3282 4.9310
-2.3729 -1.1483 1.7566

=====

Entry 4:
LaNiAg2 (GGA-PBE, optimized geometry); magnetization = 0.000 Bohr magnetons per cell; SG = Pmmm (47); electronic total energy = -16.1 eV per formula unit
1.0
-0.1318 2.9080 -1.3922
-4.2365 0.5630 1.5769
2.0301 2.3086 4.6298
Ag La Ni
2 1 1
Cartesian
1.9973 2.2713 4.5551
1.0478 1.1915 2.3896
-1.6766 2.3126 1.2498
-0.6616 3.4669 3.5647

=====

Entry 5:
Mg2CoCu (GGA-PBE, optimized geometry); magnetization = 1.206 Bohr magnetons per cell; SG = C2/m (12); electronic total energy = -13.6 eV per formula unit
1.0
4.5700 0.0102 -0.0482
3.7124 2.6652 -0.0482
0.8128 0.2626 4.9817
Mg Co Cu
2 1 1
Cartesian
0.8159 0.2635 4.9583
4.5446 1.4680 2.4661
6.8214 2.2035 3.6640
2.2738 0.7345 1.2213

=====

Entry 6:
Pm3CCl (GGA-PBE, optimized geometry); magnetization = 0.000 Bohr magnetons per cell; formation energy (no corrections) = -0.2478 eV/atom; SG = R3m (160)
1.0
5.1553 -0.3072 -0.2690
0.4812 5.1419 -0.2690
0.4812 0.4127 5.1324
Pm C Cl
3 1 1
Cartesian
3.8014 0.8865 0.7761
1.4548 3.6222 0.7761
1.4548 1.2479 3.4879
1.2905 1.1069 0.9692
4.9985 4.2875 3.7540